Entry 1:
The following is a DFT calculation (PBE) of an optimized crystal structure of TbCeScIn.

Unit cell a=7.4613 b=7.4613 c=7.4613 alpha=90.00 beta=90.00 gamma=90.00
Last column: nearest neighbours and their distance in Å.
Atoms (fractional coordinates):
Tb (0.0000, 0.0000, 0.0000)  4 In 3.23, 4 Ce 3.23
Tb (0.0000, 0.5000, 0.5000)  4 In 3.23, 4 Ce 3.23
Tb (0.5000, 0.0000, 0.5000)  4 In 3.23, 4 Ce 3.23
Tb (0.5000, 0.5000, 0.0000)  4 In 3.23, 4 Ce 3.23
Ce (0.2500, 0.2500, 0.2500)  4 Tb 3.23, 4 Sc 3.23
Ce (0.2500, 0.7500, 0.7500)  4 Tb 3.23, 4 Sc 3.23
Ce (0.7500, 0.2500, 0.7500)  4 Tb 3.23, 4 Sc 3.23
Ce (0.7500, 0.7500, 0.2500)  4 Tb 3.23, 4 Sc 3.23
Sc (0.0000, 0.0000, 0.5000)  4 Ce 3.23, 4 In 3.23
Sc (0.0000, 0.5000, 0.0000)  4 Ce 3.23, 4 In 3.23
Sc (0.5000, 0.0000, 0.0000)  4 Ce 3.23, 4 In 3.23
Sc (0.5000, 0.5000, 0.5000)  4 Ce 3.23, 4 In 3.23
In (0.2500, 0.2500, 0.7500)  4 Tb 3.23, 4 Sc 3.23
In (0.2500, 0.7500, 0.2500)  4 Tb 3.23, 4 Sc 3.23
In (0.7500, 0.2500, 0.2500)  4 Tb 3.23, 4 Sc 3.23
In (0.7500, 0.7500, 0.7500)  4 Tb 3.23, 4 Sc 3.23

Computed properties:
- formation energy from the elements (eV per atom) = -0.0804
- calculated total energy (eV per cell) = -79.8
- V (Å³/atom) = 25.96

Entry 2:
The following is a DFT calculation (PBE) of an optimized crystal structure of CeYScIn.

Unit cell a=7.4686 b=7.4686 c=7.4686 alpha=90.00 beta=90.00 gamma=90.00
Last column: nearest neighbours and their distance in Å.
Atoms (fractional coordinates):
Ce (0.0000, 0.0000, 0.0000)  4 Sc 3.23, 4 Y 3.23
Ce (0.0000, 0.5000, 0.5000)  4 Sc 3.23, 4 Y 3.23
Ce (0.5000, 0.0000, 0.5000)  4 Sc 3.23, 4 Y 3.23
Ce (0.5000, 0.5000, 0.0000)  4 Sc 3.23, 4 Y 3.23
Y (0.2500, 0.2500, 0.2500)  4 In 3.23, 4 Ce 3.23
Y (0.2500, 0.7500, 0.7500)  4 In 3.23, 4 Ce 3.23
Y (0.7500, 0.2500, 0.7500)  4 In 3.23, 4 Ce 3.23
Y (0.7500, 0.7500, 0.2500)  4 In 3.23, 4 Ce 3.23
Sc (0.2500, 0.2500, 0.7500)  4 In 3.23, 4 Ce 3.23
Sc (0.2500, 0.7500, 0.2500)  4 In 3.23, 4 Ce 3.23
Sc (0.7500, 0.2500, 0.2500)  4 In 3.23, 4 Ce 3.23
Sc (0.7500, 0.7500, 0.7500)  4 In 3.23, 4 Ce 3.23
In (0.0000, 0.0000, 0.5000)  4 Sc 3.23, 4 Y 3.23
In (0.0000, 0.5000, 0.0000)  4 Sc 3.23, 4 Y 3.23
In (0.5000, 0.0000, 0.0000)  4 Sc 3.23, 4 Y 3.23
In (0.5000, 0.5000, 0.5000)  4 Sc 3.23, 4 Y 3.23

Computed properties:
- formation energy from the elements (eV per atom) = -0.0805
- calculated total energy (eV per cell) = -87.2
- V (Å³/atom) = 26.04